Crystalline Ca2CrB2O6 at its relaxed geometry. Source: Alexandria via LeMat-Bulk, functional PBE+U.

The volume is 248 Å³ per cell. The calculation puts the total energy at -7.5477 eV per atom.

Lattice parameters (Å, degrees): 9.386 5.074 5.882 90.00 117.61 90.00
Space group C2/m (No. 12)
Asymmetric unit:
Ca: 0.204 0.000 0.189
Cr: 0.000 0.000 0.500
B: 0.030 0.500 0.255
O: 0.060 0.266 0.795
O: 0.192 0.500 0.353

Crystalline CaCrBO4 at its relaxed geometry. Source: Alexandria via LeMat-Bulk, functional PBE+U.

The volume is 277 Å³ per cell. The calculation puts the total energy at -7.1824 eV per atom.

Lattice parameters (Å, degrees): 5.694 5.923 8.200 90.00 90.00 90.00
Space group Imma (No. 74)
Asymmetric unit:
Ca: 0.250 0.250 0.250
Cr: 0.000 0.000 0.000
B: 0.000 0.250 0.654
O: 0.000 0.044 0.745
O: 0.241 0.250 0.522

Q: Which value of volume does entry 2 give?
A: 277 Å³ per cell

Q: Number 2 is which compound?
A: CaCrBO4

Q: What is the volume in the first record?
A: 248 Å³ per cell